Record 1
VASP calculation (PBE-GGA) on a relaxed structure of KLaHf2Pb.

Cell: 5.182 5.182 5.401 Å, 90.00 90.00 90.00°
Fractional positions:
K 0.000 0.000 0.000
La 0.000 0.000 0.500
Hf 0.000 0.500 0.000
Hf 0.500 0.000 0.000
Pb 0.500 0.500 0.500

Output
* DFT formation energy: 8.24 eV/f.u.
* density of states at the Fermi level: 6.6 states/eV per cell
* calculated volume: 145 Å³/f.u.
* E above lowest polymorph: 1.430 eV per formula unit

Record 2
VASP calculation (PBE-GGA) on a relaxed structure of KLaHf2Pb.

Cell: 5.391 5.391 5.855 Å, 90.00 90.00 90.00°
Fractional positions:
K 0.000 0.000 0.000
La 0.000 0.000 0.500
Hf 0.000 0.500 0.500
Hf 0.500 0.000 0.500
Pb 0.500 0.500 0.000

Output
* DFT formation energy: 6.81 eV/f.u.
* density of states at the Fermi level: 5.0 states/eV per cell
* calculated volume: 170 Å³/f.u.
* E above lowest polymorph: 0.000 eV per formula unit

Record 3
VASP calculation (PBE-GGA) on a relaxed structure of KLaHfPt2.

Cell: 5.053 5.053 5.284 Å, 90.00 90.00 90.00°
Fractional positions:
K 0.000 0.000 0.000
La 0.500 0.500 0.000
Hf 0.000 0.000 0.500
Pt 0.000 0.500 0.500
Pt 0.500 0.000 0.500

Output
* DFT formation energy: 1.09 eV/f.u.
* density of states at the Fermi level: 4.5 states/eV per cell
* calculated volume: 135 Å³/f.u.

> DFT formation energy of number 1 (KLaHf2Pb)?

8.24 eV/f.u.

> Number 3 is which compound?

KLaHfPt2

> Which value of DFT formation energy does entry 2 give?

6.81 eV/f.u.